A geometry-optimized LiY2ScN structure. Source: Alexandria, functional PBE-GGA.

The space group is P4/mmm (No. 123) and the conventional cell measures 4.993, 4.993 and 4.297 Å, with angles of 90.00, 90.00 and 90.00 degrees. The distinct sites, in fractional coordinates, are Li at (0.000, 0.000, 0.000), Y at (0.000, 0.500, 0.500), Sc at (0.500, 0.500, 0.000) and N at (0.500, 0.500, 0.500).

As for the density of states at the Fermi level: 4.13 states/eV per cell. For the formation energy without anion corrections, the calculation gives -0.63 eV/atom.

---

A geometry-optimized LiZr2ScN structure. Source: Alexandria, functional PBE-GGA.

The space group is P4/mmm (No. 123) and the conventional cell measures 4.508, 4.508 and 4.444 Å, with angles of 90.00, 90.00 and 90.00 degrees. The distinct sites, in fractional coordinates, are Li at (0.000, 0.000, 0.000), Zr at (0.000, 0.500, 0.500), Sc at (0.500, 0.500, 0.000) and N at (0.500, 0.500, 0.500).

As for the density of states at the Fermi level: 3.89 states/eV per cell. For the formation energy without anion corrections, the calculation gives -0.59 eV/atom.

---

Q: formation energy without anion corrections of number 2 (LiZr2ScN)?
A: -0.59 eV/atom

---

What did the second record say?
A geometry-optimized LiZr2ScN structure. Source: Alexandria, functional PBE-GGA.

The space group is P4/mmm (No. 123) and the conventional cell measures 4.508, 4.508 and 4.444 Å, with angles of 90.00, 90.00 and 90.00 degrees. The distinct sites, in fractional coordinates, are Li at (0.000, 0.000, 0.000), Zr at (0.000, 0.500, 0.500), Sc at (0.500, 0.500, 0.000) and N at (0.500, 0.500, 0.500).

As for the density of states at the Fermi level: 3.89 states/eV per cell. For the formation energy without anion corrections, the calculation gives -0.59 eV/atom.